DFT (GGA-PBE) results for LiZn3H after structural relaxation.

Computed properties:
- E_tot (eV/atom) = -1.68
- magnetization (μB/f.u.) = 0.00

Lattice parameters (Å, degrees): 4.0210 4.0210 4.0210 90.00 90.00 90.00
Element x y z (fractional)
H (0.0000, 0.0000, 0.0000)
Zn (0.5000, 0.0000, 0.0000)
Zn (0.0000, 0.0000, 0.5000)
Zn (0.0000, 0.5000, 0.0000)
Li (0.5000, 0.5000, 0.5000)

DFT (GGA-PBE) results for Li4Zn2H after structural relaxation.

Computed properties:
- E_tot (eV/atom) = -2.01
- magnetization (μB/f.u.) = 0.00

Lattice parameters (Å, degrees): 3.7228 3.7228 7.4854 75.60 75.60 90.00
Element x y z (fractional)
Li (0.0000, 0.5000, 0.0000)
Li (0.1409, 0.1409, 0.7181)
Li (0.5000, 0.0000, 0.0000)
Li (0.8591, 0.8591, 0.2819)
Zn (0.3253, 0.3253, 0.3494)
Zn (0.6747, 0.6747, 0.6506)
H (0.0000, 0.0000, 0.0000)

DFT (GGA-PBE) results for LiZnH2 after structural relaxation.

Computed properties:
- relative energy among the computed polymorphs (eV per atom) = 0.0557
- magnetization (μB/f.u.) = 0.00

Lattice parameters (Å, degrees): 4.1967 4.1967 5.5432 67.76 67.76 90.00
Element x y z (fractional)
Zn (0.7500, 0.2500, 0.5000)
Zn (0.0000, 0.0000, 0.0000)
Li (0.2500, 0.7500, 0.5000)
Li (0.5000, 0.5000, 0.0000)
H (0.8750, 0.9095, 0.7500)
H (0.0905, 0.6250, 0.2500)
H (0.6595, 0.1250, 0.2500)
H (0.3750, 0.3405, 0.7500)

DFT (GGA-PBE) results for LiZn2H6 after structural relaxation.

Computed properties:
- E_tot (eV/atom) = -2.60
- magnetization (μB/f.u.) = 0.00

Lattice parameters (Å, degrees): 5.5456 6.1379 6.1379 64.90 72.42 72.42
Element x y z (fractional)
Li (0.7500, 0.8997, 0.1003)
Li (0.2500, 0.1003, 0.8997)
H (0.4401, 0.3544, 0.3348)
H (0.7802, 0.9761, 0.4001)
H (0.5599, 0.6456, 0.6652)
H (0.3706, 0.9709, 0.2042)
H (0.0599, 0.6652, 0.6456)
H (0.1294, 0.7958, 0.0291)
H (0.2802, 0.4001, 0.9761)
H (0.8706, 0.2042, 0.9709)
H (0.6294, 0.0291, 0.7958)
H (0.2198, 0.0239, 0.5999)
H (0.9401, 0.3348, 0.3544)
H (0.7198, 0.5999, 0.0239)
Zn (0.2591, 0.2044, 0.2918)
Zn (0.7591, 0.2918, 0.2044)
Zn (0.2409, 0.7082, 0.7956)
Zn (0.7409, 0.7956, 0.7082)

DFT (GGA-PBE) results for LiZnH2 after structural relaxation.

Computed properties:
- relative energy among the computed polymorphs (eV per atom) = 0.2332
- magnetization (μB/f.u.) = 0.00

Lattice parameters (Å, degrees): 3.7052 3.7052 3.7052 60.00 60.00 60.00
Element x y z (fractional)
Zn (0.5000, 0.5000, 0.5000)
Li (0.0000, 0.0000, 0.0000)
H (0.2500, 0.2500, 0.2500)
H (0.7500, 0.7500, 0.7500)

DFT (GGA-PBE) results for Li3ZnH6 after structural relaxation.

Computed properties:
- E_tot (eV/atom) = -2.82
- magnetization (μB/f.u.) = 0.00

Lattice parameters (Å, degrees): 4.5364 6.6266 6.6266 106.25 90.00 90.00
Element x y z (fractional)
Li (0.9615, 0.6920, 0.9251)
Li (0.4615, 0.3080, 0.0749)
Li (0.4615, 0.9251, 0.6920)
Li (0.9615, 0.0749, 0.3080)
Li (0.4325, 0.3639, 0.6361)
Li (0.9325, 0.6361, 0.3639)
H (0.6674, 0.5703, 0.1083)
H (0.6643, 0.9452, 0.0548)
H (0.6674, 0.8917, 0.4297)
H (0.7356, 0.5397, 0.5757)
H (0.7356, 0.4243, 0.4603)
H (0.1643, 0.0548, 0.9452)
H (0.2356, 0.5757, 0.5397)
H (0.1674, 0.4297, 0.8917)
H (0.1509, 0.7978, 0.2022)
H (0.1674, 0.1083, 0.5703)
H (0.2356, 0.4603, 0.4243)
H (0.6509, 0.2022, 0.7978)
Zn (0.5087, 0.8060, 0.1940)
Zn (0.0087, 0.1940, 0.8060)

DFT (GGA-PBE) results for LiZnH after structural relaxation.

Computed properties:
- E_tot (eV/atom) = -2.16
- magnetization (μB/f.u.) = 0.00

Lattice parameters (Å, degrees): 5.2686 5.2686 5.9823 113.75 113.75 94.90
Element x y z (fractional)
Li (0.8860, 0.3860, 0.7721)
Li (0.6140, 0.1140, 0.2279)
Li (0.3640, 0.3640, 0.7279)
Li (0.6360, 0.6360, 0.2721)
H (0.6919, 0.6919, 0.0000)
H (0.3081, 0.3081, 0.0000)
H (0.5581, 0.0581, 0.5000)
H (0.9419, 0.4419, 0.5000)
Zn (0.6250, 0.8750, 0.7500)
Zn (0.1250, 0.8750, 0.7500)
Zn (0.1250, 0.8750, 0.2500)
Zn (0.1250, 0.3750, 0.2500)

DFT (GGA-PBE) results for LiZr2ZnH after structural relaxation.

Computed properties:
- E_tot (eV/atom) = -4.93
- magnetization (μB/f.u.) = 0.00

Lattice parameters (Å, degrees): 4.4514 4.4514 3.8068 90.00 90.00 90.00
Element x y z (fractional)
Zr (0.0000, 0.5000, 0.0000)
Zr (0.5000, 0.0000, 0.0000)
Zn (0.5000, 0.5000, 0.5000)
Li (0.0000, 0.0000, 0.5000)
H (0.0000, 0.0000, 0.0000)

DFT (GGA-PBE) results for LiZrH3 after structural relaxation.

Computed properties:
- relative energy among the computed polymorphs (eV per atom) = 0.2024
- magnetization (μB/f.u.) = 0.00

Lattice parameters (Å, degrees): 3.3957 3.3957 3.3957 90.00 90.00 90.00
Element x y z (fractional)
Zr (0.5000, 0.5000, 0.5000)
H (0.5000, 0.0000, 0.0000)
H (0.0000, 0.5000, 0.0000)
H (0.0000, 0.0000, 0.5000)
Li (0.0000, 0.0000, 0.0000)

DFT (GGA-PBE) results for LiZrH3 after structural relaxation.

Computed properties:
- relative energy among the computed polymorphs (eV per atom) = 0.0000
- magnetization (μB/f.u.) = 0.00

Lattice parameters (Å, degrees): 4.3174 5.9071 6.9242 107.00 90.00 90.00
Element x y z (fractional)
H (0.1628, 0.1809, 0.0451)
H (0.2488, 0.5691, 0.6420)
H (0.7512, 0.4309, 0.3580)
H (0.9960, 0.9982, 0.7208)
H (0.0040, 0.0018, 0.2792)
H (0.7488, 0.4309, 0.8580)
H (0.3372, 0.1809, 0.5451)
H (0.6628, 0.8191, 0.4549)
H (0.8372, 0.8191, 0.9549)
H (0.4960, 0.0018, 0.7792)
H (0.2512, 0.5691, 0.1420)
H (0.5040, 0.9982, 0.2208)
Li (0.2576, 0.8772, 0.9696)
Li (0.7424, 0.1228, 0.0304)
Li (0.2424, 0.8772, 0.4696)
Li (0.7576, 0.1228, 0.5304)
Zr (0.2460, 0.3302, 0.3327)
Zr (0.7540, 0.6698, 0.6673)
Zr (0.7460, 0.6698, 0.1673)
Zr (0.2540, 0.3302, 0.8327)

DFT (GGA-PBE) results for LiZr2H4 after structural relaxation.

Computed properties:
- E_tot (eV/atom) = -4.92
- magnetization (μB/f.u.) = 0.00

Lattice parameters (Å, degrees): 6.1012 6.1016 6.1901 119.66 119.66 89.87
Element x y z (fractional)
Li (0.2509, 0.7489, 0.5000)
Li (0.9997, 0.0004, 0.0000)
H (0.8629, 0.6041, 0.7273)
H (0.8641, 0.1234, 0.7273)
H (0.8765, 0.1359, 0.2726)
H (0.3858, 0.6267, 0.7729)
H (0.3735, 0.6142, 0.2273)
H (0.8539, 0.6129, 0.2272)
H (0.3960, 0.1372, 0.2728)
H (0.3869, 0.1460, 0.7726)
Zr (0.6249, 0.8751, 0.2500)
Zr (0.6249, 0.3750, 0.7500)
Zr (0.6250, 0.3751, 0.2500)
Zr (0.1249, 0.3750, 0.7500)

DFT (GGA-PBE) results for Li2ZrH6 after structural relaxation.

Computed properties:
- E_tot (eV/atom) = -3.39
- magnetization (μB/f.u.) = 0.00

Lattice parameters (Å, degrees): 5.3454 5.3454 5.3454 60.00 60.00 60.00
Element x y z (fractional)
H (0.2602, 0.7398, 0.7398)
H (0.2602, 0.2602, 0.7398)
H (0.7398, 0.2602, 0.2602)
H (0.7398, 0.7398, 0.2602)
H (0.2602, 0.7398, 0.2602)
H (0.7398, 0.2602, 0.7398)
Zr (0.0000, 0.0000, 0.0000)
Li (0.7500, 0.7500, 0.7500)
Li (0.2500, 0.2500, 0.2500)

DFT (GGA-PBE) results for LiZr2H8 after structural relaxation.

Computed properties:
- E_tot (eV/atom) = -4.50
- magnetization (μB/f.u.) = 0.00

Lattice parameters (Å, degrees): 3.4690 4.5620 5.7917 113.19 107.43 90.00
Element x y z (fractional)
H (0.6476, 0.4128, 0.2953)
H (0.0000, 0.2633, 0.0000)
H (0.8146, 0.8146, 0.6292)
H (0.3524, 0.1175, 0.7047)
H (0.0000, 0.7367, 0.0000)
H (0.6476, 0.8825, 0.2953)
H (0.1854, 0.1854, 0.3708)
H (0.3524, 0.5872, 0.7047)
Zr (0.1715, 0.6715, 0.3429)
Zr (0.8285, 0.3285, 0.6571)
Li (0.5000, 0.0000, 0.0000)

DFT (GGA-PBE) results for LiZr3H after structural relaxation.

Computed properties:
- relative energy among the computed polymorphs (eV per atom) = 0.0000
- magnetization (μB/f.u.) = 0.00

Lattice parameters (Å, degrees): 4.4411 4.4411 4.4411 90.00 90.00 90.00
Element x y z (fractional)
Zr (0.5000, 0.0000, 0.0000)
Zr (0.0000, 0.5000, 0.0000)
Zr (0.0000, 0.0000, 0.5000)
Li (0.5000, 0.5000, 0.5000)
H (0.0000, 0.0000, 0.0000)

DFT (GGA-PBE) results for LiZrH3 after structural relaxation.

Computed properties:
- relative energy among the computed polymorphs (eV per atom) = 0.2379
- magnetization (μB/f.u.) = 0.00

Lattice parameters (Å, degrees): 3.8863 3.8863 3.8863 90.00 90.00 90.00
Element x y z (fractional)
H (0.0000, 0.0000, 0.5000)
H (0.5000, 0.0000, 0.0000)
H (0.0000, 0.5000, 0.0000)
Li (0.5000, 0.5000, 0.5000)
Zr (0.0000, 0.0000, 0.0000)

DFT (GGA-PBE) results for LuMgH after structural relaxation.

Computed properties:
- relative energy among the computed polymorphs (eV per atom) = 0.0000
- magnetization (μB/f.u.) = 0.00

Lattice parameters (Å, degrees): 3.2086 3.2086 10.9601 98.42 98.42 90.00
Element x y z (fractional)
H (0.7088, 0.7088, 0.4177)
H (0.2912, 0.2912, 0.5823)
Mg (0.5706, 0.5706, 0.1412)
Mg (0.4294, 0.4294, 0.8588)
Lu (0.8103, 0.8103, 0.6206)
Lu (0.1897, 0.1897, 0.3794)

DFT (GGA-PBE) results for Lu3Mg5H12 after structural relaxation.

Computed properties:
- E_tot (eV/atom) = -3.30
- magnetization (μB/f.u.) = 0.00

Lattice parameters (Å, degrees): 10.3866 10.3866 10.3866 109.47 109.47 109.47
Element x y z (fractional)
H (0.3327, 0.7783, 0.4196)
H (0.8327, 0.9131, 0.0544)
H (0.0804, 0.9131, 0.3587)
H (0.3327, 0.5544, 0.4131)
H (0.9456, 0.5869, 0.1673)
H (0.9456, 0.3587, 0.2783)
H (0.5804, 0.8587, 0.4131)
H (0.6413, 0.0544, 0.2217)
H (0.7783, 0.3327, 0.9196)
H (0.9131, 0.8327, 0.5544)
H (0.4196, 0.1413, 0.5869)
H (0.5804, 0.7217, 0.6673)
H (0.2217, 0.5544, 0.6413)
H (0.0544, 0.4131, 0.8327)
H (0.3587, 0.4131, 0.0804)
H (0.0869, 0.1673, 0.4456)
H (0.4456, 0.7783, 0.8587)
H (0.0544, 0.6413, 0.7217)
H (0.4131, 0.0544, 0.3327)
H (0.7217, 0.1413, 0.0544)
H (0.6673, 0.2217, 0.5804)
H (0.2783, 0.8587, 0.9456)
H (0.0804, 0.1673, 0.2217)
H (0.5869, 0.6413, 0.4196)
H (0.3587, 0.9456, 0.7783)
H (0.9196, 0.8327, 0.7783)
H (0.6673, 0.4456, 0.5869)
H (0.1673, 0.0869, 0.9456)
H (0.7217, 0.5804, 0.1673)
H (0.5544, 0.2217, 0.1413)
H (0.2217, 0.6673, 0.0804)
H (0.4196, 0.2783, 0.3327)
H (0.5544, 0.3327, 0.9131)
H (0.5869, 0.9456, 0.6673)
H (0.1673, 0.0804, 0.7217)
H (0.2783, 0.4196, 0.8327)
H (0.8327, 0.9196, 0.2783)
H (0.9196, 0.0869, 0.6413)
H (0.1413, 0.4196, 0.0869)
H (0.8587, 0.2783, 0.4456)
H (0.7783, 0.4456, 0.3587)
H (0.1413, 0.7217, 0.5544)
H (0.9131, 0.0804, 0.8587)
H (0.4456, 0.6673, 0.0869)
H (0.0869, 0.9196, 0.1413)
H (0.4131, 0.3587, 0.5804)
H (0.8587, 0.5804, 0.9131)
H (0.6413, 0.5869, 0.9196)
Mg (0.5000, 0.0000, 0.0000)
Mg (0.7500, 0.1250, 0.8750)
Mg (0.2500, 0.3750, 0.6250)
Mg (0.3750, 0.1250, 0.7500)
Mg (0.6250, 0.7500, 0.8750)
Mg (0.5000, 0.5000, 0.0000)
Mg (0.5000, 0.5000, 0.5000)
Mg (0.1250, 0.7500, 0.3750)
Mg (0.0000, 0.0000, 0.0000)
Mg (0.6250, 0.8750, 0.2500)
Mg (0.3750, 0.2500, 0.1250)
Mg (0.2500, 0.8750, 0.1250)
Mg (0.0000, 0.5000, 0.0000)
Mg (0.8750, 0.6250, 0.7500)
Mg (0.1250, 0.3750, 0.2500)
Mg (0.0000, 0.0000, 0.5000)
Mg (0.7500, 0.6250, 0.3750)
Mg (0.0000, 0.5000, 0.5000)
Mg (0.5000, 0.0000, 0.5000)
Mg (0.8750, 0.2500, 0.6250)
Lu (0.1250, 0.2500, 0.8750)
Lu (0.7500, 0.3750, 0.1250)
Lu (0.3750, 0.7500, 0.6250)
Lu (0.2500, 0.1250, 0.3750)
Lu (0.7500, 0.8750, 0.6250)
Lu (0.6250, 0.3750, 0.7500)
Lu (0.8750, 0.7500, 0.1250)
Lu (0.1250, 0.8750, 0.7500)
Lu (0.6250, 0.2500, 0.3750)
Lu (0.2500, 0.6250, 0.8750)
Lu (0.3750, 0.6250, 0.2500)
Lu (0.8750, 0.1250, 0.2500)

DFT (GGA-PBE) results for Lu3MgH after structural relaxation.

Computed properties:
- E_tot (eV/atom) = -3.81
- magnetization (μB/f.u.) = 0.00

Lattice parameters (Å, degrees): 4.8036 4.8036 4.8036 90.00 90.00 90.00
Element x y z (fractional)
Lu (0.0000, 0.5000, 0.0000)
Lu (0.5000, 0.0000, 0.0000)
Lu (0.0000, 0.0000, 0.5000)
H (0.0000, 0.0000, 0.0000)
Mg (0.5000, 0.5000, 0.5000)

DFT (GGA-PBE) results for LuMgH after structural relaxation.

Computed properties:
- relative energy among the computed polymorphs (eV per atom) = 0.0112
- magnetization (μB/f.u.) = 0.00

Lattice parameters (Å, degrees): 3.4762 3.4762 5.5901 90.00 90.00 120.00
Element x y z (fractional)
H (0.3333, 0.6667, 0.5565)
Mg (0.0000, 0.0000, 0.9751)
Lu (0.6667, 0.3333, 0.4684)

DFT (GGA-PBE) results for LuMnH3 after structural relaxation.

Computed properties:
- E_tot (eV/atom) = -5.11
- magnetization (μB/f.u.) = 1.77

Lattice parameters (Å, degrees): 3.4885 3.4885 3.4885 90.00 90.00 90.00
Element x y z (fractional)
H (0.0000, 0.0000, 0.5000)
H (0.0000, 0.5000, 0.0000)
H (0.5000, 0.0000, 0.0000)
Lu (0.5000, 0.5000, 0.5000)
Mn (0.0000, 0.0000, 0.0000)